No. 1
## Pm2TlIr (PBE)

Data for Pm2TlIr after structural relaxation.

For the formation energy from the elements, the calculation gives -0.38 eV per atom. The crystal system is cubic. The calculation puts the total DFT energy (no corrections) at -5.56 eV per atom. For the energy above the most stable polymorph in this dataset, the calculation gives 131 meV/atom.

The structure belongs to space group Fm-3m (No. 225); the cell edges are 7.393, 7.393 and 7.393 Å and the angles 90.00°, 90.00° and 90.00°. The distinct sites, in fractional coordinates, are Pm at (0.250, 0.250, 0.250), Tl at (0.000, 0.000, 0.000) and Ir at (0.000, 0.000, 0.500).

***

No. 2
## Pm2TlIr (PBE)

Data for Pm2TlIr after structural relaxation.

For the formation energy from the elements, the calculation gives -0.51 eV per atom. The crystal system is tetragonal. The calculation puts the total DFT energy (no corrections) at -5.70 eV per atom. For the energy above the most stable polymorph in this dataset, the calculation gives 0 meV/atom.

The structure belongs to space group P4/mmm (No. 123); the cell edges are 3.543, 3.543 and 8.276 Å and the angles 90.00°, 90.00° and 90.00°. The distinct sites, in fractional coordinates, are Pm at (0.000, 0.000, 0.205), Tl at (0.500, 0.500, 0.500) and Ir at (0.500, 0.500, 0.000).